A relaxed TiCu3Ag crystal, computed with PBEsol.

a b c (Å): 4.5481 4.5481 4.5481
angles (deg): 90.00 90.00 90.00
Closest atoms and distances in Å follow each position.
Space group Pm-3m (No. 221)
Inequivalent atoms, fractional coordinates:
Ti 0.0000 0.0000 0.0000  12 Cu 3.22
Cu 0.0000 0.5000 0.5000  2 Ag 2.27
Ag 0.5000 0.5000 0.5000  6 Cu 2.27

Summary:
ΔH_f (0 K): 1130 meV/atom



A relaxed Zr3Al2Cu3 crystal, computed with PBEsol.

a b c (Å): 6.0579 6.0579 4.2130
angles (deg): 90.00 90.00 120.00
Closest atoms and distances in Å follow each position.
Space group P-62m (No. 189)
Inequivalent atoms, fractional coordinates:
Zr 0.0000 0.6418 0.0000  4 Cu 2.84, 4 Al 2.87
Al 0.3333 0.6667 0.5000  3 Cu 2.39
Cu 0.0000 0.2304 0.5000  2 Al 2.39, 2 Cu 2.42

Summary:
energy above the lowest structure with this stoichiometry: 23.9 meV/atom
ΔH_f (0 K): -262 meV/atom



A relaxed Hf3GaF crystal, computed with PBEsol.

a b c (Å): 4.9384 4.9384 4.9384
angles (deg): 90.00 90.00 90.00
Closest atoms and distances in Å follow each position.
Space group Pm-3m (No. 221)
Inequivalent atoms, fractional coordinates:
Hf 0.0000 0.0000 0.5000  2 Ga 2.47
Ga 0.0000 0.0000 0.0000  6 Hf 2.47
F 0.5000 0.5000 0.5000  12 Hf 3.49

Summary:
ΔE_f (raw): 0.771 eV/atom



A relaxed Os2RuRh crystal, computed with PBEsol.

a b c (Å): 8.9087 2.6801 4.6525
angles (deg): 90.00 99.99 90.00
Closest atoms and distances in Å follow each position.
Space group C2/m (No. 12)
Inequivalent atoms, fractional coordinates:
Os 0.2482 0.0000 0.2464  6 Os 2.66-2.71, 3 Ru 2.67-2.69, 3 Rh 2.68-2.70
Ru 0.0000 0.5000 0.0000  6 Os 2.67-2.69, 2 Ru 2.68, 4 Rh 2.68
Rh 0.0000 0.0000 0.5000  2 Rh 2.68, 6 Os 2.68-2.70, 4 Ru 2.68

Summary:
energy above the lowest structure with this stoichiometry: 1.7 meV/atom
ΔH_f (0 K): 85 meV/atom



A relaxed ScTaRu crystal, computed with PBEsol.

a b c (Å): 3.1540 3.1540 10.1848
angles (deg): 90.00 90.00 90.00
Closest atoms and distances in Å follow each position.
Space group I4mm (No. 107)
Inequivalent atoms, fractional coordinates:
Sc 0.0000 0.0000 0.0000  4 Ru 2.82, 5 Ta 2.96-3.15, 4 Sc 3.15
Ta 0.0000 0.0000 0.3089  4 Ru 2.65, 4 Sc 2.96
Ru 0.0000 0.0000 0.6693  4 Ta 2.65, 4 Sc 2.82

Summary:
energy above the lowest structure with this stoichiometry: 0.0 meV/atom
ΔH_f (0 K): -305 meV/atom



A relaxed Ca3B6H16O20 crystal, computed with PBEsol.

a b c (Å): 12.9169 9.4159 13.2704
angles (deg): 90.00 118.71 90.00
Closest atoms and distances in Å follow each position.
Space group C2/c (No. 15)
Inequivalent atoms, fractional coordinates:
Ca 0.0000 0.2472 0.2500  8 O 2.33-2.46
Ca 0.1628 0.4052 0.9314  7 O 2.35-2.63
B 0.0934 0.4773 0.1581  4 O 1.47-1.49
B 0.2342 0.1574 0.8290  4 O 1.47-1.48
B 0.2460 0.3500 0.3490  4 O 1.47-1.49
H 0.0219 0.3661 0.4873  1 O 1.00
H 0.0486 0.0507 0.4409  1 O 1.01
H 0.0773 0.0313 0.6543  1 O 1.02
H 0.0898 0.0818 0.8488  1 O 0.98
H 0.0946 0.2953 0.6635  1 O 1.01
H 0.1378 0.1777 0.1292  1 O 0.98
H 0.1976 0.1506 0.4759  1 O 1.01
H 0.2491 0.1198 0.3569  1 O 1.02
O 0.0071 0.3779 0.4068  1 H 1.00
O 0.0199 0.0505 0.1395  2 H 1.01-1.02
O 0.0401 0.3798 0.6299  1 H 1.01
O 0.1405 0.4404 0.2807  2 B 1.48-1.49
O 0.1492 0.1580 0.8730  1 H 0.98
O 0.1759 0.1552 0.7024  2 B 1.47, 2 H 1.61-1.62
O 0.1858 0.4660 0.1235  2 B 1.47-1.48, 1 H 1.63
O 0.1915 0.0885 0.5345  1 H 1.01
O 0.2019 0.2061 0.3570  1 H 1.02
O 0.2041 0.2094 0.1181  1 H 0.98

Summary:
DFT total energy: -1162.9 eV per cell



A relaxed LiCo2I crystal, computed with PBEsol.

a b c (Å): 5.9046 5.9046 5.9046
angles (deg): 90.00 90.00 90.00
Closest atoms and distances in Å follow each position.
Space group Fm-3m (No. 225)
Inequivalent atoms, fractional coordinates:
Li 0.0000 0.0000 0.0000  8 Co 2.56
Co 0.2500 0.2500 0.2500  4 Li 2.56, 4 I 2.56
I 0.0000 0.0000 0.5000  8 Co 2.56

Summary:
ΔE_f (raw): 0.412 eV/atom



A relaxed ScHgMo2 crystal, computed with PBEsol.

a b c (Å): 5.5478 9.5049 2.7741
angles (deg): 90.00 109.34 90.00
Closest atoms and distances in Å follow each position.
Space group C2/m (No. 12)
Inequivalent atoms, fractional coordinates:
Sc 0.0000 0.0000 0.0000  2 Hg 2.77, 2 Sc 2.77, 4 Mo 2.87
Hg 0.0000 0.5000 0.0000  2 Sc 2.77, 2 Hg 2.77, 4 Mo 2.87
Mo 0.2500 0.2500 0.5000  4 Mo 2.77, 2 Hg 2.87, 2 Sc 2.87

Summary:
ΔH_f (0 K): 279 meV/atom



A relaxed Cr2ReSb crystal, computed with PBEsol.

a b c (Å): 3.0568 3.0568 6.0546
angles (deg): 90.00 90.00 90.00
Closest atoms and distances in Å follow each position.
Space group P4/mmm (No. 123)
Inequivalent atoms, fractional coordinates:
Cr 0.0000 0.0000 0.2355  4 Re 2.59, 4 Sb 2.69, 1 Cr 2.85
Re 0.5000 0.5000 0.0000  8 Cr 2.59
Sb 0.5000 0.5000 0.5000  8 Cr 2.69

Summary:
ΔE_f (raw): 0.344 eV/atom



A relaxed SbPtPb2 crystal, computed with PBEsol.

a b c (Å): 4.5023 4.5023 4.7049
angles (deg): 90.00 90.00 90.00
Closest atoms and distances in Å follow each position.
Space group P4/mmm (No. 123)
Inequivalent atoms, fractional coordinates:
Sb 0.0000 0.0000 0.0000  4 Pt 3.18, 8 Pb 3.26
Pt 0.5000 0.5000 0.0000  4 Sb 3.18, 8 Pb 3.26
Pb 0.0000 0.5000 0.5000  4 Pb 3.18, 4 Sb 3.26, 4 Pt 3.26

Summary:
ΔE_f (raw): 0.136 eV/atom



A relaxed KTl3 crystal, computed with PBEsol.

a b c (Å): 4.1930 5.4524 10.6827
angles (deg): 90.00 90.00 90.00
Closest atoms and distances in Å follow each position.
Space group Immm (No. 71)
Inequivalent atoms, fractional coordinates:
K 0.0000 0.0000 0.0000  12 Tl 3.44-3.70
Tl 0.0000 0.0000 0.5000  4 Tl 3.27, 4 K 3.44
Tl 0.0000 0.5000 0.2349  6 Tl 3.27-3.45, 2 K 3.52

Summary:
ΔH_f (0 K): -32 meV/atom



A relaxed SrHoNiTe3 crystal, computed with PBEsol.

a b c (Å): 4.1673 14.2802 11.0353
angles (deg): 90.00 90.00 90.00
Closest atoms and distances in Å follow each position.
Space group Cmcm (No. 63)
Inequivalent atoms, fractional coordinates:
Sr 0.0000 0.2495 0.2500  6 Te 3.27-3.28
Ho 0.0000 0.0000 0.0000  6 Te 2.95-3.01
Ni 0.0000 0.4716 0.7500  4 Te 2.54-2.59
Te 0.0000 0.0734 0.7500  2 Ni 2.54
Te 0.0000 0.3573 0.5678  1 Ni 2.59

Summary:
ΔE_f (raw): -1.122 eV/atom